Material: LaPmGdZn
Method: DFT, PBE
State: relaxed

Cell: 7.7537 7.7537 7.7537 Å, 90.00 90.00 90.00°
With the nearest neighbours (Å) after each atom.
Space group F-43m (No. 216)
One atom of each set of equivalent atoms:
1 La 0.0000 0.0000 0.0000  4 Gd 3.36, 4 Zn 3.36
2 Pm 0.0000 0.0000 0.5000  4 Gd 3.36, 4 Zn 3.36
3 Gd 0.2500 0.2500 0.2500  4 Pm 3.36, 4 La 3.36
4 Zn 0.2500 0.2500 0.7500  4 La 3.36, 4 Pm 3.36

Computed properties:
**DFT total energy**: -6.242 eV per atom
**DOS at the Fermi energy**: 1.58 states/eV/atom
**ρ**: 7.22 g cm⁻³

=====

Material: CePuP2
Method: DFT, PBE
State: relaxed

Cell: 4.0007 4.0007 20.6610 Å, 90.00 90.00 120.00°
With the nearest neighbours (Å) after each atom.
Space group R3m (No. 160, hexagonal axes)
One atom of each set of equivalent atoms:
1 Ce 0.0000 0.0000 0.0000  6 P 2.90-2.96
2 Pu 0.0000 0.0000 0.1708  6 P 2.81-2.86
3 P 0.0000 0.0000 0.5814  3 Pu 2.81, 3 Ce 2.90
4 P 0.0000 0.0000 0.7560  3 Pu 2.86, 3 Ce 2.96

Computed properties:
**DFT total energy**: -8.948 eV per atom
**Distance to the lowest polymorph of the same formula**: 0.63 eV/f.u.
**DOS at the Fermi energy**: 2.58 states/eV/atom
**ρ**: 7.76 g cm⁻³